Record 1
La2MgTl2, optimized geometry, DFT PBE-GGA; total magnetization = 0.00 Bohr magnetons per cell; E_form = -343 meV/atom; theoretical density = 7.61 g/cm3; DFT total energy = -3.5799 eV per atom
1.0
-5.6138 5.1705 2.1453
-3.2171 -0.4936 -7.2290
-2.8538 -3.7312 1.5248
Tl Mg La
4 2 4
Direct
0.3602 0.8602 0.0000
0.8602 0.6398 0.0000
0.6398 0.1398 0.0000
0.1398 0.3602 0.0000
0.0000 0.0000 0.0000
0.5000 0.5000 0.0000
0.1657 0.6657 0.5000
0.6657 0.8343 0.5000
0.8343 0.3343 0.5000
0.3343 0.1657 0.5000

---

Record 2
NdAlAg2S4, optimized geometry, DFT PBE-GGA; ΔE_f (raw) = -0.860 eV/atom; total magnetization = 0.00 Bohr magnetons per cell; theoretical density = 5.07 g/cm3; DFT total energy = -4.7005 eV per atom
1.0
8.0470 0.0171 -0.2231
0.0115 8.0470 -0.2232
-4.1336 -4.1365 5.4429
Nd Al Ag S
2 2 4 8
Direct
0.0000 0.5000 0.0000
0.0000 0.5000 0.5000
0.5000 0.5000 0.5000
0.0000 0.0000 0.0000
0.5000 0.0000 0.0000
0.5000 0.0000 0.5000
0.0000 0.0000 0.5000
0.5000 0.5000 0.0000
0.2233 0.7935 0.0203
0.7065 0.2767 0.4797
0.2935 0.7233 0.5203
0.7767 0.2065 0.9797
0.7979 0.7982 0.0193
0.7018 0.7021 0.4807
0.2982 0.2979 0.5193
0.2021 0.2018 0.9807

---

Record 3
Hg2BiPb, optimized geometry, DFT PBE-GGA; total magnetization = 0.00 Bohr magnetons per cell; E_form = 35 meV/atom; theoretical density = 11.37 g/cm3; DFT total energy = -2.0127 eV per atom
1.0
1.7229 6.0978 0.4252
-1.7229 6.0978 0.4252
0.0000 2.7530 11.5543
Hg Bi Pb
4 2 2
Direct
0.8996 0.8996 0.6513
0.1004 0.1004 0.3487
0.3627 0.3627 0.4271
0.6373 0.6373 0.5729
0.8474 0.8474 0.1716
0.1526 0.1526 0.8284
0.3963 0.3963 0.9125
0.6037 0.6037 0.0875

---

Record 4
CaCeHgSb, optimized geometry, DFT PBE-GGA; ΔE_f (raw) = -0.628 eV/atom; total magnetization = 1.15 Bohr magnetons per cell; theoretical density = 7.41 g/cm3; DFT total energy = -3.7179 eV per atom
1.0
5.4211 0.0000 0.0000
2.7105 4.6948 0.0000
2.7105 1.5649 4.4263
Sb Ca Hg Ce
1 1 1 1
Direct
0.0000 0.0000 0.0000
0.7500 0.7500 0.7500
0.5000 0.5000 0.5000
0.2500 0.2500 0.2500

---

Record 5
Th3Cd4Ag4, optimized geometry, DFT PBE-GGA; total magnetization = 0.00 Bohr magnetons per cell; E_form = -147 meV/atom; theoretical density = 10.06 g/cm3; DFT total energy = -3.5404 eV per atom
1.0
3.3869 -0.0016 0.0016
-0.0021 4.9461 0.0028
1.6802 2.4570 15.5410
Th Cd Ag
3 4 4
Direct
0.1397 0.6394 0.7202
0.8603 0.3606 0.2798
0.0000 0.0000 0.0000
0.5928 0.0924 0.8144
0.2642 0.2636 0.4731
0.7358 0.7364 0.5269
0.4073 0.9077 0.1856
0.5461 0.5460 0.9076
0.4540 0.4541 0.0924
0.3145 0.8153 0.3703
0.6855 0.1847 0.6297

---

Record 6
ThZr5, optimized geometry, DFT PBE-GGA; total magnetization = 0.00 Bohr magnetons per cell; E_form = 56 meV/atom; theoretical density = 7.78 g/cm3; DFT total energy = -8.3045 eV per atom
1.0
4.5867 0.0000 0.0000
0.0000 4.6099 0.0000
0.0000 -2.3050 6.9487
Zr Th
5 1
Direct
0.5000 0.8286 0.6572
0.0000 0.6687 0.3374
0.5000 0.5000 0.0000
0.0000 0.3313 0.6626
0.5000 0.1714 0.3428
0.0000 0.0000 0.0000

---

Please write out number 6 again, unchanged.
ThZr5, optimized geometry, DFT PBE-GGA; total magnetization = 0.00 Bohr magnetons per cell; E_form = 56 meV/atom; theoretical density = 7.78 g/cm3; DFT total energy = -8.3045 eV per atom
1.0
4.5867 0.0000 0.0000
0.0000 4.6099 0.0000
0.0000 -2.3050 6.9487
Zr Th
5 1
Direct
0.5000 0.8286 0.6572
0.0000 0.6687 0.3374
0.5000 0.5000 0.0000
0.0000 0.3313 0.6626
0.5000 0.1714 0.3428
0.0000 0.0000 0.0000

---

Which value of DFT total energy does entry 3 give?
-2.0127 eV per atom